Density functional theory data (PBE) for a geometry-optimized Ta2CuRh4 structure.

CIF file:
```
data_Ta2CuRh4
_cell_length_a 4.497
_cell_length_b 4.497
_cell_length_c 7.036
_cell_angle_alpha 71.36
_cell_angle_beta 71.36
_cell_angle_gamma 90.00
_symmetry_space_group_name_H-M 'P 1'
_symmetry_Int_Tables_number 1
loop_
_symmetry_equiv_pos_as_xyz
'x,y,z'
loop_
_atom_site_label
_atom_site_type_symbol
_atom_site_fract_x
_atom_site_fract_y
_atom_site_fract_z
Cu1 Cu 0.000 0.000 0.000
Ta1 Ta 0.622 0.622 0.756
Ta2 Ta 0.378 0.378 0.244
Rh1 Rh 0.500 0.000 0.000
Rh2 Rh 0.194 0.194 0.612
Rh3 Rh 0.000 0.500 0.000
Rh4 Rh 0.806 0.806 0.388
```

Values from the calculation:
Theoretical density, g cm⁻³: 10.95
Total magnetization, μB per cell: 0.00
Space group: I4/mmm, No. 139
E above lowest polymorph, eV per formula unit: 4.90

Density functional theory data (PBE) for a geometry-optimized Ta2Cu2Rh3 structure.

CIF file:
```
data_Ta2Cu2Rh3
_cell_length_a 4.401
_cell_length_b 4.400
_cell_length_c 7.098
_cell_angle_alpha 90.11
_cell_angle_beta 108.04
_cell_angle_gamma 120.01
_symmetry_space_group_name_H-M 'P 1'
_symmetry_Int_Tables_number 1
loop_
_symmetry_equiv_pos_as_xyz
'x,y,z'
loop_
_atom_site_label
_atom_site_type_symbol
_atom_site_fract_x
_atom_site_fract_y
_atom_site_fract_z
Rh1 Rh 0.483 0.742 0.224
Rh2 Rh 0.517 0.258 0.776
Rh3 Rh 0.000 0.000 0.000
Ta1 Ta 0.784 0.392 0.176
Ta2 Ta 0.216 0.608 0.824
Cu1 Cu 0.738 0.868 0.608
Cu2 Cu 0.262 0.132 0.392
```

Values from the calculation:
Theoretical density, g cm⁻³: 11.92
Total magnetization, μB per cell: 0.00
Total DFT energy (no corrections), eV/atom: -7.919
Space group: C2/m, No. 12

Density functional theory data (PBE) for a geometry-optimized TaCuRh4 structure.

CIF file:
```
data_TaCuRh4
_cell_length_a 5.071
_cell_length_b 5.071
_cell_length_c 5.071
_cell_angle_alpha 60.00
_cell_angle_beta 60.00
_cell_angle_gamma 60.00
_symmetry_space_group_name_H-M 'P 1'
_symmetry_Int_Tables_number 1
loop_
_symmetry_equiv_pos_as_xyz
'x,y,z'
loop_
_atom_site_label
_atom_site_type_symbol
_atom_site_fract_x
_atom_site_fract_y
_atom_site_fract_z
Rh1 Rh 0.375 0.876 0.375
Rh2 Rh 0.876 0.375 0.375
Rh3 Rh 0.375 0.375 0.375
Rh4 Rh 0.375 0.375 0.876
Cu1 Cu 0.000 0.000 0.000
Ta1 Ta 0.750 0.750 0.750
```

Values from the calculation:
Theoretical density, g cm⁻³: 11.82
Total magnetization, μB per cell: 0.00
Total DFT energy (no corrections), eV/atom: -7.567
Space group: F-43m, No. 216